1) The following is a GGA-PBE calculation of a relaxed ReP2SBr crystal, from Alexandria via LeMat-Bulk.

Lattice parameters (Å, degrees): 4.724 4.724 4.550 90.00 90.00 90.00
Atoms (fractional coordinates):
1 Re 0.000 0.000 0.000
2 Br 0.500 0.500 0.500
3 P 0.500 0.000 0.000
4 P 0.000 0.500 0.000
5 S 0.000 0.000 0.500

Total magnetic moment = 0.000 μB per formula unit
Fermi-level density of states = 0.926 states/eV/atom
Volume = 102 Å³/cell

2) The following is a GGA-PBE calculation of a relaxed ReP2SBr crystal, from Alexandria via LeMat-Bulk.

Lattice parameters (Å, degrees): 4.825 4.825 4.563 90.00 90.00 90.00
Site moments in Bohr magnetons follow the coordinates.
Atoms (fractional coordinates):
1 S 0.000 0.000 0.500  -0.01
2 Br 0.000 0.000 0.000  0.01
3 P 0.500 0.000 0.000  -0.17
4 P 0.000 0.500 0.000  -0.17
5 Re 0.500 0.500 0.500  3.25

Total magnetic moment = 3.214 μB per formula unit
Fermi-level density of states = 0.494 states/eV/atom
Volume = 106 Å³/cell

Result of the stability comparison: 1) is the most stable of them.

1) The following is a GGA-PBE calculation of a relaxed RePS2Br crystal, from Alexandria via LeMat-Bulk.

Lattice parameters (Å, degrees): 4.591 4.591 4.701 90.00 90.00 90.00
Atoms (fractional coordinates):
1 S 0.000 0.500 0.000
2 S 0.500 0.000 0.000
3 Br 0.000 0.000 0.000
4 Re 0.500 0.500 0.500
5 P 0.000 0.000 0.500

Total magnetic moment = 0.060 μB per formula unit
Fermi-level density of states = 1.569 states/eV/atom
Volume = 99 Å³/cell

2) The following is a GGA-PBE calculation of a relaxed RePS2Br crystal, from Alexandria via LeMat-Bulk.

Lattice parameters (Å, degrees): 4.548 4.548 4.917 90.00 90.00 90.00
Atoms (fractional coordinates):
1 S 0.000 0.500 0.000
2 S 0.500 0.000 0.000
3 P 0.000 0.000 0.500
4 Br 0.500 0.500 0.500
5 Re 0.000 0.000 0.000

Total magnetic moment = 0.000 μB per formula unit
Fermi-level density of states = 0.660 states/eV/atom
Volume = 102 Å³/cell

Result of the stability comparison: 2) is the most stable of them.

1) The following is a GGA-PBE calculation of a relaxed RePSe2Br crystal, from Alexandria via LeMat-Bulk.

Lattice parameters (Å, degrees): 4.808 4.808 5.360 90.00 90.00 90.00
Site moments in Bohr magnetons follow the coordinates.
Atoms (fractional coordinates):
1 P 0.500 0.500 0.500  0.89
2 Br 0.000 0.000 0.500  0.05
3 Re 0.000 0.000 0.000  0.00
4 Se 0.000 0.500 0.000  -0.04
5 Se 0.500 0.000 0.000  -0.04

Total magnetic moment = 1.936 μB per formula unit
Fermi-level density of states = 0.688 states/eV/atom
Volume = 124 Å³/cell

2) The following is a GGA-PBE calculation of a relaxed RePSe2Br crystal, from Alexandria via LeMat-Bulk.

Lattice parameters (Å, degrees): 4.946 4.946 4.851 90.00 90.00 90.00
Site moments in Bohr magnetons follow the coordinates.
Atoms (fractional coordinates):
1 P 0.000 0.000 0.000  0.05
2 Se 0.500 0.000 0.000  -0.05
3 Se 0.000 0.500 0.000  -0.05
4 Br 0.000 0.000 0.500  0.08
5 Re 0.500 0.500 0.500  3.95

Total magnetic moment = 4.863 μB per formula unit
Fermi-level density of states = 0.642 states/eV/atom
Volume = 119 Å³/cell

Result of the stability comparison: 1) is the most stable of them.

1) The following is a GGA-PBE calculation of a relaxed RePSeBr2 crystal, from Alexandria via LeMat-Bulk.

Lattice parameters (Å, degrees): 5.245 5.245 4.747 90.00 90.00 90.00
Site moments in Bohr magnetons follow the coordinates.
Atoms (fractional coordinates):
1 Br 0.000 0.500 0.000  -0.02
2 Br 0.500 0.000 0.000  -0.02
3 Se 0.000 0.000 0.500  0.01
4 Re 0.000 0.000 0.000  -0.83
5 P 0.500 0.500 0.500  1.03

Total magnetic moment = 1.369 μB per formula unit
Fermi-level density of states = 0.713 states/eV/atom
Volume = 131 Å³/cell

2) The following is a GGA-PBE calculation of a relaxed RePSeBr2 crystal, from Alexandria via LeMat-Bulk.

Lattice parameters (Å, degrees): 4.973 4.973 5.178 90.00 90.00 90.00
Site moments in Bohr magnetons follow the coordinates.
Atoms (fractional coordinates):
1 Br 0.500 0.000 0.000  0.06
2 Br 0.000 0.500 0.000  0.06
3 Re 0.500 0.500 0.500  4.17
4 P 0.000 0.000 0.000  -0.06
5 Se 0.000 0.000 0.500  -0.04

Total magnetic moment = 5.124 μB per formula unit
Fermi-level density of states = 0.429 states/eV/atom
Volume = 128 Å³/cell

Result of the stability comparison: 1) is the most stable of them.

1) The following is a GGA-PBE calculation of a relaxed PRhBr3 crystal, from Alexandria via LeMat-Bulk.

Lattice parameters (Å, degrees): 5.067 5.067 5.067 90.00 90.00 90.00
Site moments in Bohr magnetons follow the coordinates.
Atoms (fractional coordinates):
1 Br 0.500 0.000 0.000  -0.07
2 Br 0.000 0.500 0.000  -0.01
3 Br 0.000 0.000 0.500  0.02
4 P 0.500 0.500 0.500  0.90
5 Rh 0.000 0.000 0.000  -0.33

Total magnetic moment = 1.591 μB per formula unit
Fermi-level density of states = 1.081 states/eV/atom
Volume = 130 Å³/cell

2) The following is a GGA-PBE calculation of a relaxed PRhBr3 crystal, from Alexandria via LeMat-Bulk.

Lattice parameters (Å, degrees): 5.108 5.108 5.108 90.00 90.00 90.00
Site moments in Bohr magnetons follow the coordinates.
Atoms (fractional coordinates):
1 Br 0.000 0.000 0.500  0.02
2 Br 0.000 0.500 0.000  0.04
3 Br 0.500 0.000 0.000  0.02
4 Rh 0.500 0.500 0.500  1.56
5 P 0.000 0.000 0.000  -0.05

Total magnetic moment = 1.690 μB per formula unit
Fermi-level density of states = 1.914 states/eV/atom
Volume = 133 Å³/cell

Result of the stability comparison: 1) is the most stable of them.

1) The following is a GGA-PBE calculation of a relaxed PRuBr2 crystal, from Alexandria via LeMat-Bulk.

Lattice parameters (Å, degrees): 4.712 4.712 3.268 90.00 90.00 90.13
Atoms (fractional coordinates):
1 Br 0.500 0.500 0.000
2 Br 0.000 0.000 0.000
3 Ru 0.000 0.500 0.500
4 P 0.500 0.000 0.500

Total magnetic moment = 0.000 μB per formula unit
Fermi-level density of states = 1.051 states/eV/atom
Volume = 73 Å³/cell

2) The following is a GGA-PBE calculation of a relaxed PRuBr2 crystal, from Alexandria via LeMat-Bulk.

Lattice parameters (Å, degrees): 4.703 4.703 4.703 60.00 60.00 60.00
Site moments in Bohr magnetons follow the coordinates.
Atoms (fractional coordinates):
1 Br 0.000 0.000 0.000  0.02
2 Br 0.250 0.250 0.250  0.09
3 P 0.500 0.500 0.500  -0.10
4 Ru 0.750 0.750 0.750  0.85

Total magnetic moment = 0.803 μB per formula unit
Fermi-level density of states = 1.072 states/eV/atom
Volume = 74 Å³/cell

Result of the stability comparison: 2) is the most stable of them.

1) The following is a GGA-PBE calculation of a relaxed PRuBr2 crystal, from Alexandria via LeMat-Bulk.

Lattice parameters (Å, degrees): 5.186 5.186 4.205 72.42 72.42 120.66
Atoms (fractional coordinates):
1 Ru 0.000 0.500 0.500
2 P 0.500 0.000 0.500
3 Br 0.500 0.500 0.000
4 Br 0.000 0.000 0.000

Total magnetic moment = 0.000 μB per formula unit
Fermi-level density of states = 0.584 states/eV/atom
Volume = 77 Å³/cell

2) The following is a GGA-PBE calculation of a relaxed PRuBr2 crystal, from Alexandria via LeMat-Bulk.

Lattice parameters (Å, degrees): 3.544 5.458 5.726 53.58 90.00 90.00
Atoms (fractional coordinates):
1 Br 0.500 0.272 0.262
2 Br 0.000 0.949 0.917
3 P 0.000 0.565 0.603
4 Ru 0.500 0.714 0.717

Total magnetic moment = 0.000 μB per formula unit
Fermi-level density of states = 0.713 states/eV/atom
Volume = 89 Å³/cell

3) The following is a GGA-PBE calculation of a relaxed PRuBr2 crystal, from Alexandria via LeMat-Bulk.

Lattice parameters (Å, degrees): 8.172 8.172 8.172 157.58 153.33 35.11
Site moments in Bohr magnetons follow the coordinates.
Atoms (fractional coordinates):
1 P 0.750 0.250 0.500  -0.01
2 Br 0.396 0.396 0.000  0.04
3 Br 0.104 0.104 0.000  0.04
4 Ru 0.250 0.750 0.500  0.41

Total magnetic moment = 0.528 μB per formula unit
Fermi-level density of states = 0.689 states/eV/atom
Volume = 93 Å³/cell

4) The following is a GGA-PBE calculation of a relaxed PRuBr2 crystal, from Alexandria via LeMat-Bulk.

Lattice parameters (Å, degrees): 3.149 5.823 4.330 90.00 90.00 90.00
Site moments in Bohr magnetons follow the coordinates.
Atoms (fractional coordinates):
1 Ru 0.000 0.500 0.500  1.23
2 Br 0.000 0.000 0.000  0.02
3 Br 0.500 0.500 0.000  0.06
4 P 0.500 0.000 0.500  -0.05

Total magnetic moment = 1.308 μB per formula unit
Fermi-level density of states = 1.166 states/eV/atom
Volume = 79 Å³/cell

Result of the stability comparison: 2) is the most stable of them.